# 1
Below is an optimized crystal structure of Pr2Nd2In, with properties calculated at the GGA-PBE level.

a = 12.4956 Å, b = 5.6410 Å, c = 9.7617 Å
α = 90.00°, β = 105.19°, γ = 90.00°
Space group C2/m (No. 12)
Symmetry-distinct sites (fractional):
Pr 0.0235 0.0000 0.3409 [4 per cell]
Pr 0.1587 0.0000 0.0524 [4 per cell]
Nd 0.0233 0.5000 0.8417 [4 per cell]
Nd 0.1572 0.5000 0.5529 [4 per cell]
In 0.2492 0.5000 0.2528 [4 per cell]

Values from the calculation:
Calculated total energy = -90.5 eV/cell
Total magnetization = 0.00 μB/cell
Formation energy from the elements = -159 meV per atom



# 2
Below is an optimized crystal structure of NdTlRh, with properties calculated at the GGA-PBE level.

a = 4.7880 Å, b = 4.7880 Å, c = 3.5910 Å
α = 90.00°, β = 90.00°, γ = 120.00°
Space group P-6m2 (No. 187)
Symmetry-distinct sites (fractional):
Nd 0.0000 0.0000 0.0000 [1 per cell]
Tl 0.3333 0.6667 0.5000 [1 per cell]
Rh 0.6667 0.3333 0.5000 [1 per cell]

Values from the calculation:
Calculated total energy = -15.6 eV/cell
Total magnetization = 0.00 μB/cell
Formation energy from the elements = -356 meV per atom